First-principles (PBE) data for a relaxed Ga2HS2 crystal, as listed in the Alexandria database.

Properties
Size of the total moment ... 0.00 μB/f.u.
E_tot ... -3.777 eV/atom

a b c (Å): 6.761 6.761 11.085
angles (deg): 90.00 90.00 90.00
Space group I4_1md (No. 109)
Symmetry-distinct sites (fractional):
Ga  0.000  0.237  0.000 (multiplicity 8)
H  0.000  0.000  0.709 (multiplicity 4)
S  0.000  0.247  0.214 (multiplicity 8)

---

First-principles (PBE) data for a relaxed Sc2InCuC crystal, as listed in the Alexandria database.

Properties
Size of the total moment ... 0.00 μB/f.u.
E_tot ... -6.026 eV/atom
Formation energy from the elements ... -0.2817 eV per atom

a b c (Å): 4.556 4.556 4.052
angles (deg): 90.00 90.00 90.00
Space group P4/mmm (No. 123)
Symmetry-distinct sites (fractional):
Sc  0.000  0.500  0.000 (multiplicity 2)
In  0.000  0.000  0.500 (multiplicity 1)
Cu  0.500  0.500  0.500 (multiplicity 1)
C  0.500  0.500  0.000 (multiplicity 1)